DFT (GGA-PBE) results for a relaxed ZrCrCd2 crystal.

Output
The value obtained for the total energy is -19.18 eV/f.u. The formation energy comes out at 0.206 eV per atom. As for the calculated density: 7.6 Mg/m³. The density of states at the Fermi level comes out at 0.9073 states/eV/atom. As for the energy above the most stable polymorph in this dataset: 84 meV per atom.

a b c (Å): 3.2167 3.2167 7.7897
angles (deg): 90.00 90.00 90.00
Closest atoms and distances in Å follow each position.
Sites, in units of the cell vectors:
Zr 0.0000 0.0000 0.0000  8 Cd 3.12, 4 Zr 3.22
Cr 0.0000 0.0000 0.5000  8 Cd 2.88, 4 Cr 3.22
Cd 0.5000 0.5000 0.2733  4 Cr 2.88, 4 Zr 3.12, 4 Cd 3.22
Cd 0.5000 0.5000 0.7267  4 Cr 2.88, 4 Zr 3.12, 4 Cd 3.22